[1]
First-principles (GGA-PBEsol) data for NaSe3I after structural relaxation, as listed in the Alexandria database.

a b c (Å): 5.4021 5.4021 5.4021
angles (deg): 90.00 90.00 90.00
Closest atoms and distances in Å follow each position.
Fractional coordinates of all 5 atoms:
Na (0.0000, 0.0000, 0.0000)  12 Se 3.82
Se (0.0000, 0.5000, 0.5000)  2 I 2.70
Se (0.5000, 0.0000, 0.5000)  2 I 2.70
Se (0.5000, 0.5000, 0.0000)  2 I 2.70
I (0.5000, 0.5000, 0.5000)  6 Se 2.70

Output
DOS at the Fermi energy = 3.598 states/eV/f.u.
Formation energy from raw total energies = 1.22 eV per formula unit

=====

[2]
First-principles (GGA-PBEsol) data for Mg2OsS6 after structural relaxation, as listed in the Alexandria database.

a b c (Å): 6.1616 6.1616 6.1616
angles (deg): 60.00 60.00 60.00
Closest atoms and distances in Å follow each position.
Fractional coordinates of all 9 atoms:
Mg (0.2500, 0.2500, 0.2500)  12 S 3.08
Mg (0.7500, 0.7500, 0.7500)  12 S 3.08
Os (0.0000, 0.0000, 0.0000)  6 S 2.31
S (0.2648, 0.2648, 0.7352)  1 Os 2.31
S (0.2648, 0.7352, 0.2648)  1 Os 2.31
S (0.2648, 0.7352, 0.7352)  1 Os 2.31
S (0.7352, 0.2648, 0.2648)  1 Os 2.31
S (0.7352, 0.2648, 0.7352)  1 Os 2.31
S (0.7352, 0.7352, 0.2648)  1 Os 2.31

Output
DOS at the Fermi energy = 3.995 states/eV/f.u.
Formation energy from raw total energies = -0.17 eV per formula unit

=====

[3]
First-principles (GGA-PBEsol) data for LaZnSb after structural relaxation, as listed in the Alexandria database.

a b c (Å): 4.9975 4.9975 4.9975
angles (deg): 60.00 60.00 60.00
Closest atoms and distances in Å follow each position.
Fractional coordinates of all 3 atoms:
La (0.0000, 0.0000, 0.0000)  4 Sb 3.06
Zn (0.5000, 0.5000, 0.5000)  4 Sb 3.06
Sb (0.7500, 0.7500, 0.7500)  4 La 3.06, 4 Zn 3.06

Output
DOS at the Fermi energy = 3.067 states/eV/f.u.
Formation energy from raw total energies = -0.70 eV per formula unit

=====

[4]
First-principles (GGA-PBEsol) data for MoOs after structural relaxation, as listed in the Alexandria database.

a b c (Å): 4.7896 4.7896 4.7896
angles (deg): 132.52 132.52 69.40
Closest atoms and distances in Å follow each position.
Fractional coordinates of all 4 atoms:
Mo (0.3750, 0.6250, 0.7500)  8 Os 2.73-2.76, 4 Mo 2.76
Mo (0.6250, 0.3750, 0.2500)  8 Os 2.73-2.76, 4 Mo 2.76
Os (0.1250, 0.8750, 0.2500)  8 Mo 2.73-2.76, 4 Os 2.76
Os (0.8750, 0.1250, 0.7500)  8 Mo 2.73-2.76, 4 Os 2.76

Output
Raw total energy = -11.88 eV/atom
DOS at the Fermi energy = 2.134 states/eV/f.u.

=====

[5]
First-principles (GGA-PBEsol) data for LiZnTe2 after structural relaxation, as listed in the Alexandria database.

a b c (Å): 4.0340 4.0340 7.5577
angles (deg): 101.67 101.67 49.86
Closest atoms and distances in Å follow each position.
Fractional coordinates of all 4 atoms:
Li (0.0000, 0.0000, 0.0000)  6 Te 2.90-3.07
Zn (0.5000, 0.5000, 0.5000)  6 Te 2.75-2.86
Te (0.2609, 0.2609, 0.7339)  3 Zn 2.75-2.86, 3 Li 2.90-3.07
Te (0.7391, 0.7391, 0.2661)  3 Zn 2.75-2.86, 3 Li 2.90-3.07

Output
DOS at the Fermi energy = 0.749 states/eV/f.u.
Formation energy from raw total energies = -1.63 eV per formula unit

=====

[6]
First-principles (GGA-PBEsol) data for ScAlCo after structural relaxation, as listed in the Alexandria database.

a b c (Å): 8.0211 5.0578 5.0578
angles (deg): 60.94 90.00 90.00
Closest atoms and distances in Å follow each position.
Fractional coordinates of all 12 atoms:
Sc (0.1719, 0.0000, 0.0000)  1 Sc 2.76, 7 Co 2.84-3.00, 5 Al 2.85-3.03
Sc (0.2941, 0.6637, 0.6637)  3 Co 2.72-2.75, 5 Al 2.96-3.02
Sc (0.7059, 0.6637, 0.6637)  3 Co 2.72-2.75, 5 Al 2.96-3.02
Sc (0.8281, 0.0000, 0.0000)  1 Sc 2.76, 7 Co 2.84-3.00, 5 Al 2.85-3.03
Al (0.2295, 0.3226, 0.3226)  4 Co 2.41-2.57, 2 Al 2.67
Al (0.5000, 0.1653, 0.6743)  2 Co 2.48-2.57, 4 Al 2.52-2.67
Al (0.5000, 0.6743, 0.1653)  2 Co 2.48-2.57, 4 Al 2.52-2.67
Al (0.7705, 0.3226, 0.3226)  4 Co 2.41-2.57, 2 Al 2.67
Co (0.0000, 0.5017, 0.5017)  2 Co 2.36, 2 Al 2.41
Co (0.0000, 0.5049, 0.9676)  2 Co 2.36-2.37, 2 Al 2.42
Co (0.0000, 0.9676, 0.5049)  2 Co 2.36-2.37, 2 Al 2.42
Co (0.5000, 0.1655, 0.1655)  6 Al 2.48-2.57

Output
Raw total energy = -6.63 eV/atom
DOS at the Fermi energy = 2.636 states/eV/f.u.